A relaxed structure of BaTaCuTc2. Source: the Alexandria database, functional PBE.

Results
The total energy comes out at -6.23 eV per atom. Its total magnetization is 1.796 μB/f.u. As for the space-group type: P4/mmm.

abc: 4.8758 4.6782 4.8758
angles: 90.00 90.00 90.00
With the nearest neighbours (Å) after each atom.
Sites, in units of the cell vectors:
Tc 0.0000 0.0000 0.5000  2 Cu 2.44
Tc 0.5000 0.0000 0.0000  2 Cu 2.44
Ba 0.5000 0.5000 0.5000  8 Tc 3.38, 4 Ta 3.45
Cu 0.0000 0.0000 0.0000  2 Ta 2.34, 4 Tc 2.44
Ta 0.0000 0.5000 0.0000  2 Cu 2.34